1.
CoWSe2Br: relaxed, PBE.

- Total moment: 3.2 Bohr magnetons per cell
- Raw formation energy: 874 meV/atom
- Energy relative to the lowest polymorph listed for this composition: 0.0 meV per atom
- Space-group type: P4/mmm
- Final energy: -24.3 eV/cell

The structure in POSCAR format:
```
CoWSe2Br
1.0
4.877 0.000 0.000
0.000 4.877 0.000
0.000 0.000 5.331
Br W Se Co
1 1 2 1
Cartesian
0.000 0.000 2.665
0.000 0.000 0.000
0.000 2.439 0.000
2.439 0.000 0.000
2.439 2.439 2.665
```



2.
YCoSeBr2: relaxed, PBE.

- Total moment: 2.4 Bohr magnetons per cell
- Raw formation energy: -310 meV/atom
- Energy relative to the lowest polymorph listed for this composition: 166.8 meV per atom
- Space-group type: P4/mmm
- Final energy: -21.9 eV/cell

The structure in POSCAR format:
```
YCoSeBr2
1.0
-1.695 -0.335 -5.223
0.108 -5.492 0.317
-5.302 -0.005 1.721
Br Y Se Co
2 1 1 1
Cartesian
0.054 -2.746 0.159
-0.848 -0.168 -2.612
0.000 0.000 0.000
-2.651 -0.002 0.861
-3.445 -2.916 -1.593
```